# K3GeH

A geometry-optimized K3GeH structure (PBE-GGA, the Alexandria database).

CIF file:
```
data_K3GeH
_chemical_formula_sum 'K3 Ge1 H1'
_cell_length_a 5.433
_cell_length_b 5.433
_cell_length_c 5.433
_cell_angle_alpha 90.00
_cell_angle_beta 90.00
_cell_angle_gamma 90.00
_space_group_name_H-M_alt 'P 1'
_space_group_IT_number 1
loop_
_space_group_symop_operation_xyz
'x,y,z'
loop_
_atom_site_label
_atom_site_type_symbol
_atom_site_fract_x
_atom_site_fract_y
_atom_site_fract_z
K1 K 0.500 0.000 0.000
K2 K 0.000 0.500 0.000
K3 K 0.000 0.000 0.500
H1 H 0.000 0.000 0.000
Ge1 Ge 0.500 0.500 0.500
```

spin magnetization	2.00	μB per cell
theoretical density	1978	kg/m³
crystal system	cubic
energy above the most stable polymorph in this dataset	91.7	meV/atom